[1]
# Ce2Nd2Ge4Pt (PBE-GGA, relaxed)
# Crystal system   tetragonal
# DFT formation energy   -4.746 eV per formula unit
data_Ce2Nd2Ge4Pt
_space_group_name_H-M_alt 'I 4/m m m'
_space_group_IT_number 139
_space_group_name_Hall '-I 4 2'
_cell_length_a 7.2983
_cell_length_b 7.2983
_cell_length_c 8.3361
_cell_angle_alpha 90.00
_cell_angle_beta 90.00
_cell_angle_gamma 90.00
loop_
_atom_site_label
_atom_site_type_symbol
_atom_site_fract_x
_atom_site_fract_y
_atom_site_fract_z
Ce1 Ce 0.0000 0.0000 0.1643
Nd1 Nd 0.0000 0.5000 0.2500
Ge1 Ge 0.2422 0.2422 0.5000
Pt1 Pt 0.0000 0.0000 0.5000



[2]
# CeNdGePt (PBE-GGA, relaxed)
# Crystal system   cubic
# DFT formation energy   -3.070 eV per formula unit
data_CeNdGePt
_space_group_name_H-M_alt 'F -4 3 m'
_space_group_IT_number 216
_space_group_name_Hall 'F -4 2 3'
_cell_length_a 7.2853
_cell_length_b 7.2853
_cell_length_c 7.2853
_cell_angle_alpha 90.00
_cell_angle_beta 90.00
_cell_angle_gamma 90.00
loop_
_atom_site_label
_atom_site_type_symbol
_atom_site_fract_x
_atom_site_fract_y
_atom_site_fract_z
Ce1 Ce 0.0000 0.0000 0.0000
Nd1 Nd 0.0000 0.0000 0.5000
Ge1 Ge 0.2500 0.2500 0.2500
Pt1 Pt 0.2500 0.2500 0.7500



[3]
# CeNd2Ge3Pt4 (PBE-GGA, relaxed)
# Crystal system   tetragonal
# DFT formation energy   -9.196 eV per formula unit
data_CeNd2Ge3Pt4
_space_group_name_H-M_alt 'P -4 m 2'
_space_group_IT_number 115
_cell_length_a 4.3608
_cell_length_b 4.3608
_cell_length_c 11.1306
_cell_angle_alpha 90.00
_cell_angle_beta 90.00
_cell_angle_gamma 90.00
loop_
_space_group_symop_operation_xyz
'x,y,z'
'y,-x,-z'
'-x,-y,z'
'-y,x,-z'
'-x,y,z'
'-y,-x,-z'
'x,-y,z'
'y,x,-z'
loop_
_atom_site_label
_atom_site_type_symbol
_atom_site_fract_x
_atom_site_fract_y
_atom_site_fract_z
Ce1 Ce 0.0000 0.0000 0.0000
Nd1 Nd 0.0000 0.5000 0.7193
Ge1 Ge 0.0000 0.5000 0.3792
Ge2 Ge 0.5000 0.5000 0.0000
Pt1 Pt 0.0000 0.0000 0.5000
Pt2 Pt 0.0000 0.5000 0.1578
Pt3 Pt 0.5000 0.5000 0.5000



[4]
# CeNdGePt (PBE-GGA, relaxed)
# Crystal system   tetragonal
# DFT formation energy   -2.526 eV per formula unit
data_CeNdGePt
_space_group_name_H-M_alt 'P 4/n m m'
_space_group_IT_number 129
_cell_length_a 4.2128
_cell_length_b 4.2128
_cell_length_c 10.8978
_cell_angle_alpha 90.00
_cell_angle_beta 90.00
_cell_angle_gamma 90.00
loop_
_space_group_symop_operation_xyz
'x,y,z'
'-x,-y,-z'
'-y+1/2,x,z'
'y+1/2,-x,-z'
'-x+1/2,-y+1/2,z'
'x+1/2,y+1/2,-z'
'y,-x+1/2,z'
'-y,x+1/2,-z'
'x+1/2,-y,-z'
'-x+1/2,y,z'
'-y,-x,-z'
'y,x,z'
'-x,y+1/2,-z'
'x,-y+1/2,z'
'y+1/2,x+1/2,-z'
'-y+1/2,-x+1/2,z'
loop_
_atom_site_label
_atom_site_type_symbol
_atom_site_fract_x
_atom_site_fract_y
_atom_site_fract_z
Ce1 Ce 0.2500 0.7500 0.0000
Nd1 Nd 0.2500 0.2500 0.2945
Ge1 Ge 0.2500 0.2500 0.5614
Pt1 Pt 0.2500 0.2500 0.7936



[5]
# Ce2NdGe2Pt2 (PBE-GGA, relaxed)
# Crystal system   trigonal
# DFT formation energy   -6.317 eV per formula unit
data_Ce2NdGe2Pt2
_space_group_name_H-M_alt 'R -3 m'
_space_group_IT_number 166
_space_group_name_Hall '-R 3 2"'
_cell_length_a 4.4011
_cell_length_b 4.4011
_cell_length_c 27.3718
_cell_angle_alpha 90.00
_cell_angle_beta 90.00
_cell_angle_gamma 120.00
loop_
_atom_site_label
_atom_site_type_symbol
_atom_site_fract_x
_atom_site_fract_y
_atom_site_fract_z
Ce1 Ce 0.0000 0.0000 0.1383
Nd1 Nd 0.0000 0.0000 0.0000
Ge1 Ge 0.0000 0.0000 0.2593
Pt1 Pt 0.0000 0.0000 0.4088



[6]
# CeNdGeRh (PBE-GGA, relaxed)
# Crystal system   tetragonal
# DFT formation energy   -1.852 eV per formula unit
data_CeNdGeRh
_space_group_name_H-M_alt 'P 4/n m m'
_space_group_IT_number 129
_cell_length_a 4.5799
_cell_length_b 4.5799
_cell_length_c 10.1964
_cell_angle_alpha 90.00
_cell_angle_beta 90.00
_cell_angle_gamma 90.00
loop_
_space_group_symop_operation_xyz
'x,y,z'
'-x,-y,-z'
'-y+1/2,x,z'
'y+1/2,-x,-z'
'-x+1/2,-y+1/2,z'
'x+1/2,y+1/2,-z'
'y,-x+1/2,z'
'-y,x+1/2,-z'
'x+1/2,-y,-z'
'-x+1/2,y,z'
'-y,-x,-z'
'y,x,z'
'-x,y+1/2,-z'
'x,-y+1/2,z'
'y+1/2,x+1/2,-z'
'-y+1/2,-x+1/2,z'
loop_
_atom_site_label
_atom_site_type_symbol
_atom_site_fract_x
_atom_site_fract_y
_atom_site_fract_z
Ce1 Ce 0.2500 0.7500 0.0000
Nd1 Nd 0.2500 0.2500 0.3383
Ge1 Ge 0.2500 0.2500 0.6198
Rh1 Rh 0.2500 0.2500 0.8535



[7]
# CeNdGeRh (PBE-GGA, relaxed)
# Crystal system   cubic
# DFT formation energy   -2.298 eV per formula unit
data_CeNdGeRh
_space_group_name_H-M_alt 'F -4 3 m'
_space_group_IT_number 216
_space_group_name_Hall 'F -4 2 3'
_cell_length_a 7.1965
_cell_length_b 7.1965
_cell_length_c 7.1965
_cell_angle_alpha 90.00
_cell_angle_beta 90.00
_cell_angle_gamma 90.00
loop_
_atom_site_label
_atom_site_type_symbol
_atom_site_fract_x
_atom_site_fract_y
_atom_site_fract_z
Ce1 Ce 0.0000 0.0000 0.0000
Nd1 Nd 0.0000 0.0000 0.5000
Ge1 Ge 0.2500 0.2500 0.2500
Rh1 Rh 0.2500 0.2500 0.7500



[8]
# Ce2NdGe3Rh4 (PBE-GGA, relaxed)
# Crystal system   tetragonal
# DFT formation energy   -7.975 eV per formula unit
data_Ce2NdGe3Rh4
_space_group_name_H-M_alt 'P -4 m 2'
_space_group_IT_number 115
_cell_length_a 4.1958
_cell_length_b 4.1958
_cell_length_c 11.3541
_cell_angle_alpha 90.00
_cell_angle_beta 90.00
_cell_angle_gamma 90.00
loop_
_space_group_symop_operation_xyz
'x,y,z'
'y,-x,-z'
'-x,-y,z'
'-y,x,-z'
'-x,y,z'
'-y,-x,-z'
'x,-y,z'
'y,x,-z'
loop_
_atom_site_label
_atom_site_type_symbol
_atom_site_fract_x
_atom_site_fract_y
_atom_site_fract_z
Ce1 Ce 0.0000 0.5000 0.2275
Nd1 Nd 0.0000 0.0000 0.5000
Ge1 Ge 0.0000 0.5000 0.8814
Ge2 Ge 0.5000 0.5000 0.5000
Rh1 Rh 0.0000 0.0000 0.0000
Rh2 Rh 0.0000 0.5000 0.6665
Rh3 Rh 0.5000 0.5000 0.0000



[9]
# CeNd2Ge3Rh4 (PBE-GGA, relaxed)
# Crystal system   tetragonal
# DFT formation energy   -8.629 eV per formula unit
data_CeNd2Ge3Rh4
_space_group_name_H-M_alt 'P -4 m 2'
_space_group_IT_number 115
_cell_length_a 4.2683
_cell_length_b 4.2683
_cell_length_c 10.9439
_cell_angle_alpha 90.00
_cell_angle_beta 90.00
_cell_angle_gamma 90.00
loop_
_space_group_symop_operation_xyz
'x,y,z'
'y,-x,-z'
'-x,-y,z'
'-y,x,-z'
'-x,y,z'
'-y,-x,-z'
'x,-y,z'
'y,x,-z'
loop_
_atom_site_label
_atom_site_type_symbol
_atom_site_fract_x
_atom_site_fract_y
_atom_site_fract_z
Ce1 Ce 0.0000 0.0000 0.0000
Nd1 Nd 0.0000 0.5000 0.7240
Ge1 Ge 0.0000 0.5000 0.3770
Ge2 Ge 0.5000 0.5000 0.0000
Rh1 Rh 0.0000 0.0000 0.5000
Rh2 Rh 0.0000 0.5000 0.1505
Rh3 Rh 0.5000 0.5000 0.5000



[10]
# CeNdGe2Rh5 (PBE-GGA, relaxed)
# Crystal system   tetragonal
# DFT formation energy   -6.340 eV per formula unit
data_CeNdGe2Rh5
_space_group_name_H-M_alt 'P 4/m m m'
_space_group_IT_number 123
_space_group_name_Hall '-P 4 2'
_cell_length_a 4.2284
_cell_length_b 4.2284
_cell_length_c 9.0282
_cell_angle_alpha 90.00
_cell_angle_beta 90.00
_cell_angle_gamma 90.00
loop_
_atom_site_label
_atom_site_type_symbol
_atom_site_fract_x
_atom_site_fract_y
_atom_site_fract_z
Ce1 Ce 0.0000 0.0000 0.0000
Nd1 Nd 0.0000 0.0000 0.5000
Ge1 Ge 0.5000 0.5000 0.1408
Rh1 Rh 0.0000 0.5000 0.2669
Rh2 Rh 0.5000 0.5000 0.5000



[11]
# CeNdGeRh2 (PBE-GGA, relaxed)
# Crystal system   orthorhombic
# DFT formation energy   -4.014 eV per formula unit
data_CeNdGeRh2
_space_group_name_H-M_alt 'I m m 2'
_space_group_IT_number 44
_cell_length_a 3.9032
_cell_length_b 4.3327
_cell_length_c 12.6022
_cell_angle_alpha 90.00
_cell_angle_beta 90.00
_cell_angle_gamma 90.00
loop_
_space_group_symop_operation_xyz
'x,y,z'
'-x,-y,z'
'-x,y,z'
'x,-y,z'
'x+1/2,y+1/2,z+1/2'
'-x+1/2,-y+1/2,z+1/2'
'-x+1/2,y+1/2,z+1/2'
'x+1/2,-y+1/2,z+1/2'
loop_
_atom_site_label
_atom_site_type_symbol
_atom_site_fract_x
_atom_site_fract_y
_atom_site_fract_z
Ce1 Ce 0.0000 0.0000 0.0000
Nd1 Nd 0.0000 0.5000 0.2424
Ge1 Ge 0.0000 0.5000 0.8357
Rh1 Rh 0.0000 0.0000 0.4737
Rh2 Rh 0.0000 0.5000 0.6365



[12]
# CeNdGeS (PBE-GGA, relaxed)
# Energy relative to the elements, uncorrected   -1.409 eV/atom
# Crystal system   trigonal
data_CeNdGeS
_space_group_name_H-M_alt 'R 3 m'
_space_group_IT_number 160
_space_group_name_Hall 'R 3 -2"'
_cell_length_a 4.1819
_cell_length_b 4.1819
_cell_length_c 20.3240
_cell_angle_alpha 90.00
_cell_angle_beta 90.00
_cell_angle_gamma 120.00
loop_
_atom_site_label
_atom_site_type_symbol
_atom_site_fract_x
_atom_site_fract_y
_atom_site_fract_z
Ce1 Ce 0.0000 0.0000 0.0000
Nd1 Nd 0.0000 0.0000 0.4971
Ge1 Ge 0.0000 0.0000 0.2514
S1 S 0.0000 0.0000 0.7472



> Which formula does entry 10 have?

CeNdGe2Rh5



> What is the formula in the ninth record?

CeNd2Ge3Rh4